Computed, not measured: a relaxed HoAl2WO8 crystal at the GGA+U level of DFT.

Total energy in eV per atom: -7.45
Magnetic moment in μB/atom: 0.042
Symmetry: No. 65

Unit cell a=4.6018 b=4.6007 c=6.3247 alpha=90.00 beta=90.00 gamma=89.53
With the nearest neighbours (Å) after each atom.
Positions (direct):
O: 0.3343 0.3338 0.5000  2 Al 1.97, 1 O 2.17, 1 Ho 2.18
W: 0.0000 0.0000 0.0000  6 O 1.93-1.98
O: 0.6657 0.6662 0.5000  2 Al 1.97, 1 O 2.17, 1 Ho 2.18
Al: 0.5000 0.5000 0.7608  6 O 1.90-1.98
O: 0.7927 0.2078 0.2190  1 Al 1.90, 1 W 1.93
O: 0.3036 0.3031 0.0000  1 W 1.98, 2 Al 1.98
O: 0.2073 0.7922 0.7810  1 Al 1.90, 1 W 1.93
O: 0.2073 0.7922 0.2190  1 Al 1.90, 1 W 1.93
Ho: 0.0000 0.0000 0.5000  6 O 2.18-2.23
Al: 0.5000 0.5000 0.2392  6 O 1.90-1.98
O: 0.7927 0.2078 0.7810  1 Al 1.90, 1 W 1.93
O: 0.6964 0.6969 0.0000  1 W 1.98, 2 Al 1.98